(1)
Here is an optimized crystal structure of Cr2CdSi from Alexandria via LeMat-Bulk. Energies are from PBE-GGA.

Output
Formation energy without anion corrections ... 0.35 eV/atom
ρ ... 6.8 Mg/m³
Volume ... 14.94 Å³/atom
Space-group type ... Imm2, No. 44
Magnetization ... 0.2 Bohr magnetons per cell
Final energy ... -6.0450 eV per atom

Geometry as CIF:
```
data_Cr2CdSi
_cell_length_a 5.176
_cell_length_b 5.176
_cell_length_c 5.176
_cell_angle_alpha 146.02
_cell_angle_beta 128.83
_cell_angle_gamma 62.86
_symmetry_space_group_name_H-M 'P 1'
_symmetry_Int_Tables_number 1
_symmetry_space_group_name_Hall 'P 1'
loop_
_atom_site_label
_atom_site_type_symbol
_atom_site_fract_x
_atom_site_fract_y
_atom_site_fract_z
Cr1 Cr 0.000 0.000 0.000
Cr2 Cr 0.777 0.277 0.500
Cd1 Cd 0.500 0.500 0.000
Si1 Si 0.228 0.728 0.500
```


(2)
Here is an optimized crystal structure of TaCrCd2Si from Alexandria via LeMat-Bulk. Energies are from PBE-GGA.

Output
Formation energy without anion corrections ... 1.53 eV/atom
ρ ... 6.1 Mg/m³
Volume ... 26.36 Å³/atom
Space-group type ... P4/mmm, No. 123
Magnetization ... 1.7 Bohr magnetons per cell
Final energy ... -4.2130 eV per atom

Geometry as CIF:
```
data_TaCrCd2Si
_cell_length_a 5.423
_cell_length_b 5.423
_cell_length_c 4.481
_cell_angle_alpha 90.00
_cell_angle_beta 90.00
_cell_angle_gamma 90.00
_symmetry_space_group_name_H-M 'P 1'
_symmetry_Int_Tables_number 1
_symmetry_space_group_name_Hall 'P 1'
loop_
_atom_site_label
_atom_site_type_symbol
_atom_site_fract_x
_atom_site_fract_y
_atom_site_fract_z
Ta1 Ta 0.000 0.000 0.000
Cr1 Cr 0.000 0.000 0.500
Cd1 Cd 0.000 0.500 0.000
Cd2 Cd 0.500 0.000 0.000
Si1 Si 0.500 0.500 0.500
```


(3)
Here is an optimized crystal structure of CrCdSn3 from Alexandria via LeMat-Bulk. Energies are from PBE-GGA.

Output
ρ ... 6.6 Mg/m³
Volume ... 26.32 Å³/atom
Space-group type ... Pm-3m, No. 221
Calculated formation energy ... 218 meV per atom
Magnetization ... 0.0 Bohr magnetons per cell
Final energy ... -4.2914 eV per atom
Polymorph energy (0 for the lowest one) ... 0.00 eV per formula unit

Geometry as CIF:
```
data_CrCdSn3
_cell_length_a 5.086
_cell_length_b 5.086
_cell_length_c 5.086
_cell_angle_alpha 90.00
_cell_angle_beta 90.00
_cell_angle_gamma 90.00
_symmetry_space_group_name_H-M 'P 1'
_symmetry_Int_Tables_number 1
_symmetry_space_group_name_Hall 'P 1'
loop_
_atom_site_label
_atom_site_type_symbol
_atom_site_fract_x
_atom_site_fract_y
_atom_site_fract_z
Cr1 Cr 0.000 0.000 0.000
Cd1 Cd 0.500 0.500 0.500
Sn1 Sn 0.000 0.000 0.500
Sn2 Sn 0.000 0.500 0.000
Sn3 Sn 0.500 0.000 0.000
```